First-principles (PBE with a Hubbard U) data for a geometry-optimized Zn2NiF structure, as listed in Alexandria via LeMat-Bulk.

## Properties
Fermi-level density of states: 4.6 states/eV per cell
energy above the lowest structure with this stoichiometry: 187.0 meV per atom
size of the total moment: 0.0 μB per cell

a = 5.905 Å, b = 5.905 Å, c = 5.905 Å
α = 90.00°, β = 90.00°, γ = 90.00°
Fractional positions:
Zn (0.250, 0.250, 0.250)
Zn (0.250, 0.250, 0.750)
Zn (0.250, 0.750, 0.250)
Zn (0.250, 0.750, 0.750)
Zn (0.750, 0.250, 0.250)
Zn (0.750, 0.250, 0.750)
Zn (0.750, 0.750, 0.250)
Zn (0.750, 0.750, 0.750)
Ni (0.000, 0.000, 0.000)
Ni (0.000, 0.500, 0.500)
Ni (0.500, 0.000, 0.500)
Ni (0.500, 0.500, 0.000)
F (0.000, 0.000, 0.500)
F (0.000, 0.500, 0.000)
F (0.500, 0.000, 0.000)
F (0.500, 0.500, 0.500)